This record from the Alexandria database describes crystalline MnIrO2F at its relaxed geometry. The functional is GGA+U.

Total moment   1.0 μB per formula unit
V   12.0 A^3/atom
Raw total energy   -5.83 eV/atom

POSCAR file:
```
MnIrO2F
1.0
3.895 0.000 0.000
0.000 3.895 0.000
0.000 0.000 3.947
Ir O Mn F
1 2 1 1
Cartesian
1.947 1.947 1.973
0.000 1.947 0.000
1.947 0.000 0.000
0.000 0.000 0.000
0.000 0.000 1.973
```